Entry 1:
{"formula": "MgAs2AuBr", "functional": "PBE", "state": "optimized geometry", "lattice": [[5.048, 0.000, 0.000], [0.000, 5.048, 0.000], [0.000, 0.000, 5.467]], "species": ["Mg", "As", "As", "Au", "Br"], "fractional_positions": [[0.000, 0.000, 0.000], [0.000, 0.500, 0.500], [0.500, 0.000, 0.500], [0.500, 0.500, 0.500], [0.500, 0.500, 0.000]], "e_above_lowest_polymorph_ev_per_atom": 0.0000, "total_magnetization_mub_per_atom": 0.207, "formation_energy_uncorrected_ev_per_fu": 2.49, "crystal_system": "tetragonal"}


Entry 2:
{"formula": "ZrPF", "functional": "PBE", "state": "optimized geometry", "lattice": [[7.445, 0.000, 0.000], [0.000, 7.445, 0.000], [0.000, 0.000, 3.853]], "species": ["Zr", "Zr", "Zr", "Zr", "P", "P", "P", "P", "F", "F", "F", "F"], "fractional_positions": [[0.138, 0.708, 0.000], [0.292, 0.138, 0.500], [0.708, 0.862, 0.500], [0.862, 0.292, 0.000], [0.227, 0.387, 0.000], [0.387, 0.773, 0.500], [0.613, 0.227, 0.500], [0.773, 0.613, 0.000], [0.013, 0.817, 0.500], [0.183, 0.013, 0.000], [0.817, 0.987, 0.000], [0.987, 0.183, 0.500]], "total_magnetization_mub_per_atom": 0.000, "formation_energy_uncorrected_ev_per_fu": -5.42, "crystal_system": "tetragonal"}


Entry 3:
{"formula": "NaCaPmAg", "functional": "PBE", "state": "optimized geometry", "lattice": [[7.701, 0.000, 0.000], [0.000, 7.701, 0.000], [0.000, 0.000, 7.701]], "species": ["Na", "Na", "Na", "Na", "Ca", "Ca", "Ca", "Ca", "Pm", "Pm", "Pm", "Pm", "Ag", "Ag", "Ag", "Ag"], "fractional_positions": [[0.000, 0.000, 0.000], [0.000, 0.500, 0.500], [0.500, 0.000, 0.500], [0.500, 0.500, 0.000], [0.250, 0.250, 0.250], [0.250, 0.750, 0.750], [0.750, 0.250, 0.750], [0.750, 0.750, 0.250], [0.250, 0.250, 0.750], [0.250, 0.750, 0.250], [0.750, 0.250, 0.250], [0.750, 0.750, 0.750], [0.000, 0.000, 0.500], [0.000, 0.500, 0.000], [0.500, 0.000, 0.000], [0.500, 0.500, 0.500]], "total_magnetization_mub_per_atom": 0.000, "formation_enthalpy_0k_ev_per_atom": 0.02, "crystal_system": "cubic"}